Entry 1:
# YTaTl3 PBE-GGA relaxed
# Spin magnetization: 0.00 μB/cell
# V: 31.36 A^3/atom
# Energy of formation: 567 meV/atom
data_YTaTl3
_cell_length_a 5.393
_cell_length_b 5.393
_cell_length_c 5.393
_cell_angle_alpha 90.00
_cell_angle_beta 90.00
_cell_angle_gamma 90.00
_symmetry_space_group_name_H-M 'P 1'
_symmetry_Int_Tables_number 1
loop_
_symmetry_equiv_pos_as_xyz
'x,y,z'
loop_
_atom_site_label
_atom_site_type_symbol
_atom_site_fract_x
_atom_site_fract_y
_atom_site_fract_z
_atom_site_occupancy
Tl1 Tl 0.000 0.500 0.000 1
Tl2 Tl 0.500 0.000 0.000 1
Tl3 Tl 0.000 0.000 0.500 1
Ta1 Ta 0.000 0.000 0.000 1
Y1 Y 0.500 0.500 0.500 1

Entry 2:
# Ni15GeSb4 PBE-GGA relaxed
# Spin magnetization: 0.00 μB/cell
# Formation energy (no corrections): -0.166 eV per atom
# V: 12.68 A^3/atom
data_Ni15GeSb4
_cell_length_a 3.712
_cell_length_b 3.712
_cell_length_c 18.407
_cell_angle_alpha 90.00
_cell_angle_beta 90.00
_cell_angle_gamma 90.00
_symmetry_space_group_name_H-M 'P 1'
_symmetry_Int_Tables_number 1
loop_
_symmetry_equiv_pos_as_xyz
'x,y,z'
loop_
_atom_site_label
_atom_site_type_symbol
_atom_site_fract_x
_atom_site_fract_y
_atom_site_fract_z
_atom_site_occupancy
Ni1 Ni 0.000 0.500 0.093 1
Ni2 Ni 0.000 0.500 0.500 1
Ni3 Ni 0.000 0.500 0.296 1
Ni4 Ni 0.500 0.500 0.398 1
Ni5 Ni 0.500 0.500 0.000 1
Ni6 Ni 0.500 0.500 0.602 1
Ni7 Ni 0.000 0.500 0.704 1
Ni8 Ni 0.500 0.000 0.093 1
Ni9 Ni 0.500 0.500 0.195 1
Ni10 Ni 0.500 0.000 0.704 1
Ni11 Ni 0.500 0.000 0.296 1
Ni12 Ni 0.500 0.000 0.500 1
Ni13 Ni 0.500 0.500 0.805 1
Ni14 Ni 0.000 0.500 0.907 1
Ni15 Ni 0.500 0.000 0.907 1
Sb1 Sb 0.000 0.000 0.398 1
Sb2 Sb 0.000 0.000 0.805 1
Sb3 Sb 0.000 0.000 0.195 1
Sb4 Sb 0.000 0.000 0.602 1
Ge1 Ge 0.000 0.000 0.000 1

Entry 3:
# Co3N PBE-GGA relaxed
# Spin magnetization: 3.11 μB/cell
# Formation energy (no corrections): 0.267 eV per atom
# V: 9.61 A^3/atom
data_Co3N
_cell_length_a 2.565
_cell_length_b 4.282
_cell_length_c 4.300
_cell_angle_alpha 119.86
_cell_angle_beta 107.35
_cell_angle_gamma 90.00
_symmetry_space_group_name_H-M 'P 1'
_symmetry_Int_Tables_number 1
loop_
_symmetry_equiv_pos_as_xyz
'x,y,z'
loop_
_atom_site_label
_atom_site_type_symbol
_atom_site_fract_x
_atom_site_fract_y
_atom_site_fract_z
_atom_site_occupancy
Co1 Co 0.500 0.368 0.000 1
Co2 Co 0.316 0.696 0.631 1
Co3 Co 0.684 0.065 0.369 1
N1 N 0.000 0.038 0.000 1

Entry 4:
# Hf2NbInB PBE-GGA relaxed
# Spin magnetization: 0.00 μB/cell
# V: 18.75 A^3/atom
# Energy of formation: -280 meV/atom
data_Hf2NbInB
_cell_length_a 4.602
_cell_length_b 4.602
_cell_length_c 4.426
_cell_angle_alpha 90.00
_cell_angle_beta 90.00
_cell_angle_gamma 90.00
_symmetry_space_group_name_H-M 'P 1'
_symmetry_Int_Tables_number 1
loop_
_symmetry_equiv_pos_as_xyz
'x,y,z'
loop_
_atom_site_label
_atom_site_type_symbol
_atom_site_fract_x
_atom_site_fract_y
_atom_site_fract_z
_atom_site_occupancy
Hf1 Hf 0.500 0.000 0.000 1
Hf2 Hf 0.000 0.500 0.000 1
In1 In 0.500 0.500 0.500 1
B1 B 0.000 0.000 0.000 1
Nb1 Nb 0.000 0.000 0.500 1

Entry 5:
# PmTmZnPt PBE-GGA relaxed
# Spin magnetization: 0.00 μB/cell
# V: 23.22 A^3/atom
# Energy of formation: -787 meV/atom
data_PmTmZnPt
_cell_length_a 3.862
_cell_length_b 4.432
_cell_length_c 5.759
_cell_angle_alpha 90.00
_cell_angle_beta 109.59
_cell_angle_gamma 90.00
_symmetry_space_group_name_H-M 'P 1'
_symmetry_Int_Tables_number 1
loop_
_symmetry_equiv_pos_as_xyz
'x,y,z'
loop_
_atom_site_label
_atom_site_type_symbol
_atom_site_fract_x
_atom_site_fract_y
_atom_site_fract_z
_atom_site_occupancy
Pm1 Pm 0.857 0.500 0.713 1
Tm1 Tm 0.139 0.000 0.277 1
Zn1 Zn 0.427 0.000 0.854 1
Pt1 Pt 0.578 0.500 0.155 1

Entry 6:
# K2USe2O2 PBE-GGA relaxed
# Spin magnetization: 0.00 μB/cell
# Formation energy (no corrections): -1.892 eV per atom
# V: 24.41 A^3/atom
data_K2USe2O2
_cell_length_a 4.357
_cell_length_b 4.357
_cell_length_c 9.513
_cell_angle_alpha 103.24
_cell_angle_beta 103.24
_cell_angle_gamma 90.00
_symmetry_space_group_name_H-M 'P 1'
_symmetry_Int_Tables_number 1
loop_
_symmetry_equiv_pos_as_xyz
'x,y,z'
loop_
_atom_site_label
_atom_site_type_symbol
_atom_site_fract_x
_atom_site_fract_y
_atom_site_fract_z
_atom_site_occupancy
K1 K 0.346 0.346 0.691 1
K2 K 0.654 0.654 0.309 1
Se1 Se 0.149 0.149 0.297 1
Se2 Se 0.851 0.851 0.703 1
O1 O 0.000 0.500 0.000 1
O2 O 0.500 0.000 0.000 1
U1 U 0.000 0.000 0.000 1

Entry 7:
# Cs2Si2Pt3 PBE-GGA relaxed
# Spin magnetization: 0.00 μB/cell
# Formation energy (no corrections): -0.434 eV per atom
# V: 26.90 A^3/atom
data_Cs2Si2Pt3
_cell_length_a 4.106
_cell_length_b 7.340
_cell_length_c 6.842
_cell_angle_alpha 81.11
_cell_angle_beta 72.54
_cell_angle_gamma 73.76
_symmetry_space_group_name_H-M 'P 1'
_symmetry_Int_Tables_number 1
loop_
_symmetry_equiv_pos_as_xyz
'x,y,z'
loop_
_atom_site_label
_atom_site_type_symbol
_atom_site_fract_x
_atom_site_fract_y
_atom_site_fract_z
_atom_site_occupancy
Si1 Si 0.099 0.039 0.763 1
Si2 Si 0.901 0.961 0.237 1
Pt1 Pt 0.341 0.904 0.414 1
Pt2 Pt 0.659 0.096 0.586 1
Pt3 Pt 0.500 0.000 0.000 1
Cs1 Cs 0.829 0.584 0.757 1
Cs2 Cs 0.171 0.416 0.243 1

Entry 8:
# CeSm3H8 PBE-GGA relaxed
# Spin magnetization: 0.79 μB/cell
# V: 13.10 A^3/atom
# Final energy: -0.334 Ry/atom
data_CeSm3H8
_cell_length_a 5.397
_cell_length_b 5.397
_cell_length_c 5.397
_cell_angle_alpha 90.00
_cell_angle_beta 90.00
_cell_angle_gamma 90.00
_symmetry_space_group_name_H-M 'P 1'
_symmetry_Int_Tables_number 1
loop_
_symmetry_equiv_pos_as_xyz
'x,y,z'
loop_
_atom_site_label
_atom_site_type_symbol
_atom_site_fract_x
_atom_site_fract_y
_atom_site_fract_z
_atom_site_occupancy
Sm1 Sm 0.500 0.000 0.500 1
Sm2 Sm 0.500 0.500 0.000 1
Sm3 Sm 0.000 0.500 0.500 1
H1 H 0.252 0.748 0.748 1
H2 H 0.252 0.252 0.252 1
H3 H 0.252 0.252 0.748 1
H4 H 0.748 0.748 0.748 1
H5 H 0.748 0.252 0.252 1
H6 H 0.748 0.748 0.252 1
H7 H 0.748 0.252 0.748 1
H8 H 0.252 0.748 0.252 1
Ce1 Ce 0.000 0.000 0.000 1

Please write out number 2 again, unchanged.
# Ni15GeSb4 PBE-GGA relaxed
# Spin magnetization: 0.00 μB/cell
# Formation energy (no corrections): -0.166 eV per atom
# V: 12.68 A^3/atom
data_Ni15GeSb4
_cell_length_a 3.712
_cell_length_b 3.712
_cell_length_c 18.407
_cell_angle_alpha 90.00
_cell_angle_beta 90.00
_cell_angle_gamma 90.00
_symmetry_space_group_name_H-M 'P 1'
_symmetry_Int_Tables_number 1
loop_
_symmetry_equiv_pos_as_xyz
'x,y,z'
loop_
_atom_site_label
_atom_site_type_symbol
_atom_site_fract_x
_atom_site_fract_y
_atom_site_fract_z
_atom_site_occupancy
Ni1 Ni 0.000 0.500 0.093 1
Ni2 Ni 0.000 0.500 0.500 1
Ni3 Ni 0.000 0.500 0.296 1
Ni4 Ni 0.500 0.500 0.398 1
Ni5 Ni 0.500 0.500 0.000 1
Ni6 Ni 0.500 0.500 0.602 1
Ni7 Ni 0.000 0.500 0.704 1
Ni8 Ni 0.500 0.000 0.093 1
Ni9 Ni 0.500 0.500 0.195 1
Ni10 Ni 0.500 0.000 0.704 1
Ni11 Ni 0.500 0.000 0.296 1
Ni12 Ni 0.500 0.000 0.500 1
Ni13 Ni 0.500 0.500 0.805 1
Ni14 Ni 0.000 0.500 0.907 1
Ni15 Ni 0.500 0.000 0.907 1
Sb1 Sb 0.000 0.000 0.398 1
Sb2 Sb 0.000 0.000 0.805 1
Sb3 Sb 0.000 0.000 0.195 1
Sb4 Sb 0.000 0.000 0.602 1
Ge1 Ge 0.000 0.000 0.000 1